# ReHgCl2 | Alexandria | PBE-GGA | optimized geometry
data_ReHgCl2
_chemical_formula_sum 'Re3 Hg3 Cl6'
_space_group_name_H-M_alt 'R 3 m'
_space_group_IT_number 160
_space_group_name_Hall 'R 3 -2"'
_cell_length_a 3.3235
_cell_length_b 3.3235
_cell_length_c 25.4757
_cell_angle_alpha 90.00
_cell_angle_beta 90.00
_cell_angle_gamma 120.00
loop_
_atom_site_label
_atom_site_fract_x
_atom_site_fract_y
_atom_site_fract_z
Re1 0.0000 0.0000 0.0000
Hg1 0.0000 0.0000 0.7520
Cl1 0.0000 0.0000 0.2791
Cl2 0.0000 0.0000 0.4954
# Density of states at the Fermi level = 0.829 states/eV/atom
# Excess energy over the best structure of this formula in the dataset = 184.1 meV/atom

=====

# ReHg2Cl | Alexandria | PBE-GGA | optimized geometry
data_ReHg2Cl
_chemical_formula_sum 'Re2 Hg4 Cl2'
_space_group_name_H-M_alt 'C m m m'
_space_group_IT_number 65
_space_group_name_Hall '-C 2 2'
_cell_length_a 5.933
_cell_length_b 8.672
_cell_length_c 2.977
_cell_angle_alpha 90.00
_cell_angle_beta 90.00
_cell_angle_gamma 90.00
loop_
_atom_site_label
_atom_site_fract_x
_atom_site_fract_y
_atom_site_fract_z
Re1 0.000 0.000 0.000
Hg1 0.250 0.250 0.500
Cl1 0.000 0.500 0.000
# Density of states at the Fermi level = 0.666 states/eV/atom
# Excess energy over the best structure of this formula in the dataset = 315.7 meV/atom

=====

# ReHg2Cl | Alexandria | PBE-GGA | optimized geometry
data_ReHg2Cl
_chemical_formula_sum 'Re4 Hg8 Cl4'
_space_group_name_H-M_alt 'F -4 3 m'
_space_group_IT_number 216
_space_group_name_Hall 'F -4 2 3'
_cell_length_a 6.882
_cell_length_b 6.882
_cell_length_c 6.882
_cell_angle_alpha 90.00
_cell_angle_beta 90.00
_cell_angle_gamma 90.00
loop_
_atom_site_label
_atom_site_fract_x
_atom_site_fract_y
_atom_site_fract_z
Re1 0.000 0.000 0.000
Hg1 0.000 0.000 0.500
Hg2 0.250 0.250 0.250
Cl1 0.250 0.250 0.750
# Density of states at the Fermi level = 0.866 states/eV/atom
# Excess energy over the best structure of this formula in the dataset = 742.4 meV/atom

=====

# ReHg2Cl | Alexandria | PBE-GGA | optimized geometry
data_ReHg2Cl
_chemical_formula_sum 'Re1 Hg2 Cl1'
_space_group_name_H-M_alt 'P m m m'
_space_group_IT_number 47
_cell_length_a 2.914
_cell_length_b 5.002
_cell_length_c 5.454
_cell_angle_alpha 90.00
_cell_angle_beta 90.00
_cell_angle_gamma 90.00
loop_
_space_group_symop_operation_xyz
'x,y,z'
'-x,-y,-z'
'-x,-y,z'
'x,y,-z'
'x,-y,-z'
'-x,y,z'
'-x,y,-z'
'x,-y,z'
loop_
_atom_site_label
_atom_site_fract_x
_atom_site_fract_y
_atom_site_fract_z
Re1 0.000 0.000 0.000
Hg1 0.000 0.500 0.500
Hg2 0.500 0.000 0.500
Cl1 0.500 0.500 0.000
# Density of states at the Fermi level = 0.990 states/eV/atom
# Excess energy over the best structure of this formula in the dataset = 564.5 meV/atom

=====

# TiReHgCl2 | Alexandria | PBE-GGA | optimized geometry
data_TiReHgCl2
_chemical_formula_sum 'Ti1 Re1 Hg1 Cl2'
_space_group_name_H-M_alt 'P 4/m m m'
_space_group_IT_number 123
_space_group_name_Hall '-P 4 2'
_cell_length_a 4.789
_cell_length_b 4.789
_cell_length_c 5.032
_cell_angle_alpha 90.00
_cell_angle_beta 90.00
_cell_angle_gamma 90.00
loop_
_atom_site_label
_atom_site_fract_x
_atom_site_fract_y
_atom_site_fract_z
Ti1 0.000 0.000 0.000
Re1 0.000 0.000 0.500
Hg1 0.500 0.500 0.000
Cl1 0.000 0.500 0.500
# Density of states at the Fermi level = 0.713 states/eV/atom

=====

A relaxed structure of Tl2ReHgCl8. Source: Alexandria, functional PBE-GGA.

Structure (CIF):
```
data_Tl2ReHgCl8
_chemical_formula_sum 'Tl2 Re1 Hg1 Cl8'
_space_group_name_H-M_alt 'P -1'
_space_group_IT_number 2
_cell_length_a 6.773
_cell_length_b 7.129
_cell_length_c 9.117
_cell_angle_alpha 76.00
_cell_angle_beta 75.20
_cell_angle_gamma 68.52
loop_
_space_group_symop_operation_xyz
'x,y,z'
'-x,-y,-z'
loop_
_atom_site_label
_atom_site_fract_x
_atom_site_fract_y
_atom_site_fract_z
Tl1 0.114 0.132 0.183
Re1 0.500 0.500 0.000
Hg1 0.500 0.500 0.500
Cl1 0.233 0.520 0.229
Cl2 0.279 0.423 0.873
Cl3 0.293 0.842 0.502
Cl4 0.343 0.855 0.912
```

=====

# ReHgW2Cl | Alexandria | PBE-GGA | optimized geometry
data_ReHgW2Cl
_chemical_formula_sum 'Re1 Hg1 W2 Cl1'
_space_group_name_H-M_alt 'P 4/m m m'
_space_group_IT_number 123
_space_group_name_Hall '-P 4 2'
_cell_length_a 4.816
_cell_length_b 4.816
_cell_length_c 5.423
_cell_angle_alpha 90.00
_cell_angle_beta 90.00
_cell_angle_gamma 90.00
loop_
_atom_site_label
_atom_site_fract_x
_atom_site_fract_y
_atom_site_fract_z
Re1 0.000 0.000 0.000
Hg1 0.000 0.000 0.500
W1 0.000 0.500 0.000
Cl1 0.500 0.500 0.500
# Density of states at the Fermi level = 1.115 states/eV/atom

=====

# HgRh2Cl | Alexandria | PBE-GGA | optimized geometry
data_HgRh2Cl
_chemical_formula_sum 'Hg4 Rh8 Cl4'
_space_group_name_H-M_alt 'F -4 3 m'
_space_group_IT_number 216
_space_group_name_Hall 'F -4 2 3'
_cell_length_a 6.567
_cell_length_b 6.567
_cell_length_c 6.567
_cell_angle_alpha 90.00
_cell_angle_beta 90.00
_cell_angle_gamma 90.00
loop_
_atom_site_label
_atom_site_fract_x
_atom_site_fract_y
_atom_site_fract_z
Hg1 0.000 0.000 0.000
Rh1 0.000 0.000 0.500
Rh2 0.250 0.250 0.750
Cl1 0.250 0.250 0.250
# Density of states at the Fermi level = 0.970 states/eV/atom
# Excess energy over the best structure of this formula in the dataset = 475.7 meV/atom

=====

Values of total moment, in order: 0.00, 0.00, 10.33, 0.98, 0.63, 3.00, 2.89, 9.28, all in Bohr magnetons per cell.
Values of VASP energy, in order: -0.284, -0.219, -0.188, -0.201, -0.324, -0.255, -0.463, -0.265, all in Ry/atom.
Values of raw formation energy, in order: 243, 745, 1172, 994, 461, -785, 1802, 606, all in meV/atom.